No. 1
The following is a PBE-GGA calculation of NaBiH3 after structural relaxation, from Alexandria via LeMat-Bulk.

DOS(E_F) = 1.110 states/eV/cell
Distance to the lowest polymorph of the same formula = 233 meV per atom
Total magnetic moment = 0.0 μB per cell

Cell lengths 3.9438, 3.9438, 3.9438 Å; angles 90.00, 90.00, 90.00 degrees
Positions (direct):
Bi 0.5000 0.5000 0.5000
Na 0.0000 0.0000 0.0000
H 0.0000 0.5000 0.0000
H 0.0000 0.0000 0.5000
H 0.5000 0.0000 0.0000



No. 2
The following is a PBE-GGA calculation of UGePt2 after structural relaxation, from Alexandria via LeMat-Bulk.

DOS(E_F) = 10.002 states/eV/cell
E = -7.54 eV per atom
Total magnetic moment = 3.4 μB per cell

Cell lengths 5.4877, 4.1994, 6.8215 Å; angles 90.00, 99.17, 90.00 degrees
Each line ends with the local moment (μB).
Positions (direct):
Pt 0.2944 0.2500 0.9571  -0.07
Pt 0.8126 0.7500 0.4747  -0.03
Pt 0.7056 0.7500 0.0429  -0.07
Pt 0.1874 0.2500 0.5253  -0.03
Ge 0.6152 0.2500 0.3052  0.00
Ge 0.3848 0.7500 0.6948  0.00
U 0.2038 0.7500 0.2217  1.67
U 0.7962 0.2500 0.7783  1.67



No. 3
The following is a PBE-GGA calculation of Zr2InBr after structural relaxation, from Alexandria via LeMat-Bulk.

DOS(E_F) = 2.431 states/eV/cell
Distance to the lowest polymorph of the same formula = 190 meV per atom
Total magnetic moment = 0.0 μB per cell

Cell lengths 3.2971, 3.2971, 9.8366 Å; angles 90.00, 90.00, 120.13 degrees
Positions (direct):
Zr 0.0000 0.0000 0.4895
Zr 0.0000 0.0000 0.0105
In 0.5000 0.5000 0.7500
Br 0.5000 0.5000 0.2500



No. 4
The following is a PBE-GGA calculation of GeHF after structural relaxation, from Alexandria via LeMat-Bulk.

DOS(E_F) = 0.567 states/eV/cell
Distance to the lowest polymorph of the same formula = 312 meV per atom
Total magnetic moment = 0.0 μB per cell

Cell lengths 3.0231, 3.0231, 4.8740 Å; angles 108.07, 108.07, 90.00 degrees
Positions (direct):
H 0.0255 0.0255 0.0509
F 0.3083 0.3083 0.6166
Ge 0.5162 0.5162 0.0325



No. 5
The following is a PBE-GGA calculation of Li3AsF6 after structural relaxation, from Alexandria via LeMat-Bulk.

DOS(E_F) = 0.000 states/eV/cell
Distance to the lowest polymorph of the same formula = 151 meV per atom
Total magnetic moment = 0.0 μB per cell

Cell lengths 5.6696, 5.6696, 5.6696 Å; angles 60.00, 60.00, 60.00 degrees
Positions (direct):
F 0.2541 0.2541 0.7459
F 0.7459 0.2541 0.7459
F 0.2541 0.7459 0.2541
F 0.7459 0.2541 0.2541
F 0.2541 0.7459 0.7459
F 0.7459 0.7459 0.2541
Li 0.7500 0.7500 0.7500
Li 0.5000 0.5000 0.5000
Li 0.2500 0.2500 0.2500
As 0.0000 0.0000 0.0000



No. 6
The following is a PBE-GGA calculation of Rb5TeO5 after structural relaxation, from Alexandria via LeMat-Bulk.

DOS(E_F) = 2.024 states/eV/cell
E = -4.21 eV per atom
Total magnetic moment = 0.1 μB per cell

Cell lengths 6.1468, 6.6502, 8.1422 Å; angles 97.51, 90.00, 117.53 degrees
Positions (direct):
O 0.1643 0.2665 0.8794
O 0.8978 0.7335 0.1206
O 0.3619 0.0000 0.0000
O 0.0428 0.1911 0.1987
O 0.8517 0.8089 0.8013
Te 0.0519 0.0000 0.0000
Rb 0.7102 0.3522 0.8415
Rb 0.0153 0.0000 0.5000
Rb 0.6863 0.3264 0.2591
Rb 0.3580 0.6478 0.1585
Rb 0.3598 0.6736 0.7409



No. 7
The following is a PBE-GGA calculation of RbScPb2 after structural relaxation, from Alexandria via LeMat-Bulk.

DOS(E_F) = 1.748 states/eV/cell
Distance to the lowest polymorph of the same formula = 118 meV per atom
Total magnetic moment = 0.0 μB per cell

Cell lengths 3.6854, 3.6854, 11.0810 Å; angles 80.43, 80.43, 60.00 degrees
Positions (direct):
Pb 0.7389 0.7389 0.7834
Pb 0.2611 0.2611 0.2166
Sc 0.0000 0.0000 0.0000
Rb 0.5000 0.5000 0.5000



No. 8
The following is a PBE-GGA calculation of Pr2Nd2Ho5 after structural relaxation, from Alexandria via LeMat-Bulk.

DOS(E_F) = 28.566 states/eV/cell
Distance to the lowest polymorph of the same formula = 57 meV per atom
Total magnetic moment = 0.0 μB per cell

Cell lengths 11.9520, 6.7650, 10.1866 Å; angles 109.39, 125.92, 90.00 degrees
Positions (direct):
Ho 0.2044 0.6514 0.8934
Ho 0.4081 0.5365 0.2842
Ho 0.0063 0.6572 0.5000
Ho 0.3761 0.0365 0.2842
Ho 0.5919 0.2523 0.7158
Ho 0.7956 0.7581 0.1066
Ho 0.1889 0.1514 0.8934
Ho 0.9937 0.1572 0.5000
Ho 0.8111 0.2581 0.1066
Ho 0.6239 0.7523 0.7158
Pr 0.2590 0.3545 0.5000
Pr 0.0000 0.0104 0.0000
Pr 0.7410 0.8545 0.5000
Pr 0.5000 0.5104 0.0000
Nd 0.3702 0.9314 0.7471
Nd 0.6298 0.1842 0.2529
Nd 0.8769 0.4314 0.7471
Nd 0.1231 0.6842 0.2529



No. 9
The following is a PBE-GGA calculation of PaTa2W after structural relaxation, from Alexandria via LeMat-Bulk.

DOS(E_F) = 6.936 states/eV/cell
E = -11.37 eV per atom
Total magnetic moment = 0.0 μB per cell

Cell lengths 3.2204, 3.2204, 7.6426 Å; angles 90.00, 90.00, 90.00 degrees
Positions (direct):
W 0.5000 0.5000 0.0000
Ta 0.0000 0.0000 0.2084
Ta 0.0000 0.0000 0.7916
Pa 0.5000 0.5000 0.5000



No. 10
The following is a PBE-GGA calculation of TcHRu2Pt after structural relaxation, from Alexandria via LeMat-Bulk.

DOS(E_F) = 5.192 states/eV/cell
Distance to the lowest polymorph of the same formula = 0 meV per atom
Total magnetic moment = 0.0 μB per cell

Cell lengths 3.9192, 3.8944, 3.9192 Å; angles 90.00, 90.00, 90.00 degrees
Positions (direct):
Ru 0.0000 0.0000 0.5000
Ru 0.5000 0.0000 0.0000
H 0.0000 0.0000 0.0000
Pt 0.5000 0.5000 0.5000
Tc 0.0000 0.5000 0.0000



No. 11
The following is a PBE-GGA calculation of FeTc2Ir after structural relaxation, from Alexandria via LeMat-Bulk.

DOS(E_F) = 4.501 states/eV/cell
Distance to the lowest polymorph of the same formula = 31 meV per atom
Total magnetic moment = 1.7 μB per cell

Cell lengths 5.9689, 4.6988, 2.6853 Å; angles 90.04, 63.20, 120.42 degrees
Each line ends with the local moment (μB).
Positions (direct):
Ir 0.5000 0.5000 0.0000  -0.01
Tc 0.5000 0.0000 0.5000  -0.14
Tc 0.0000 0.0000 0.0000  -0.14
Fe 0.0000 0.5000 0.5000  2.05



No. 12
The following is a PBE-GGA calculation of Ba2Mg after structural relaxation, from Alexandria via LeMat-Bulk.

DOS(E_F) = 7.364 states/eV/cell
E = -1.81 eV per atom
Total magnetic moment = 0.0 μB per cell

Cell lengths 10.1221, 10.1221, 6.4893 Å; angles 90.00, 90.00, 154.09 degrees
Positions (direct):
Ba 0.2052 0.7948 0.5000
Ba 0.0467 0.9533 0.0000
Ba 0.3503 0.6497 0.0000
Ba 0.5088 0.4912 0.5000
Mg 0.8630 0.1370 0.5000
Mg 0.6925 0.3075 0.0000



No. 13
The following is a PBE-GGA calculation of CeHo4Sc5 after structural relaxation, from Alexandria via LeMat-Bulk.

DOS(E_F) = 18.612 states/eV/cell
E = -5.35 eV per atom
Total magnetic moment = 0.8 μB per cell

Cell lengths 5.6021, 7.6223, 7.6223 Å; angles 82.24, 68.44, 68.44 degrees
Each line ends with the local moment (μB).
Positions (direct):
Ho 0.1442 0.3224 0.3224  -0.01
Ho 0.4666 0.6776 0.3224  -0.01
Ho 0.7890 0.6776 0.6776  -0.01
Ho 0.4666 0.3224 0.6776  -0.01
Sc 0.7543 0.0000 0.3733  -0.01
Sc 0.6756 0.0000 0.0000  -0.10
Sc 0.7543 0.3733 0.0000  -0.01
Sc 0.1276 0.6267 0.0000  -0.01
Sc 0.1276 0.0000 0.6267  -0.01
Ce 0.2044 0.0000 0.0000  -0.41



No. 14
The following is a PBE-GGA calculation of NaSr2H4 after structural relaxation, from Alexandria via LeMat-Bulk.

DOS(E_F) = 2.802 states/eV/cell
E = -2.86 eV per atom
Total magnetic moment = 0.8 μB per cell

Cell lengths 4.0981, 4.0981, 7.2640 Å; angles 73.62, 73.62, 90.00 degrees
Each line ends with the local moment (μB).
Positions (direct):
H 0.8269 0.8269 0.3462  -0.01
H 0.1731 0.1731 0.6538  -0.01
H 0.0000 0.5000 0.0000  0.00
H 0.5000 0.0000 0.0000  0.00
Sr 0.6429 0.6429 0.7143  0.10
Sr 0.3571 0.3571 0.2857  0.10
Na 0.0000 0.0000 0.0000  0.00